*i*
A plane-wave DFT calculation with PBE-GGA was carried out for a relaxed Sc2InP crystal.

```
data_Sc2InP
_space_group_name_H-M_alt 'P 4/m m m'
_space_group_IT_number 123
_space_group_name_Hall '-P 4 2'
_cell_length_a 3.9772
_cell_length_b 3.9772
_cell_length_c 5.5983
_cell_angle_alpha 90.00
_cell_angle_beta 90.00
_cell_angle_gamma 90.00
loop_
_atom_site_label
_atom_site_fract_x
_atom_site_fract_y
_atom_site_fract_z
_atom_site_occupancy
Sc1 0.0000 0.0000 0.0000 1
Sc2 0.5000 0.5000 0.5000 1
In1 0.0000 0.0000 0.5000 1
P1 0.5000 0.5000 0.0000 1
```

*ii*
A plane-wave DFT calculation with PBE-GGA was carried out for a relaxed Sc2InP crystal.

```
data_Sc2InP
_space_group_name_H-M_alt 'C m m m'
_space_group_IT_number 65
_space_group_name_Hall '-C 2 2'
_cell_length_a 6.0915
_cell_length_b 7.5883
_cell_length_c 3.4874
_cell_angle_alpha 90.00
_cell_angle_beta 90.00
_cell_angle_gamma 90.00
loop_
_atom_site_label
_atom_site_fract_x
_atom_site_fract_y
_atom_site_fract_z
_atom_site_occupancy
Sc1 0.2500 0.2500 0.0000 1
In1 0.0000 0.0000 0.5000 1
P1 0.0000 0.5000 0.5000 1
```

Which one sits at the top of the stability order? *i* does.

*i*
A plane-wave DFT calculation with PBE-GGA was carried out for a relaxed Sc2InP crystal.

```
data_Sc2InP
_space_group_name_H-M_alt 'P 1 2/m 1'
_space_group_IT_number 10
_cell_length_a 3.7961
_cell_length_b 4.1689
_cell_length_c 5.6949
_cell_angle_alpha 90.00
_cell_angle_beta 107.73
_cell_angle_gamma 90.00
loop_
_space_group_symop_operation_xyz
'x,y,z'
'-x,-y,-z'
'-x,y,-z'
'x,-y,z'
loop_
_atom_site_label
_atom_site_fract_x
_atom_site_fract_y
_atom_site_fract_z
_atom_site_occupancy
Sc1 0.0000 0.0000 0.0000 1
Sc2 0.5000 0.5000 0.5000 1
In1 0.0000 0.0000 0.5000 1
P1 0.5000 0.5000 0.0000 1
```

*ii*
A plane-wave DFT calculation with PBE-GGA was carried out for a relaxed Sc2InP crystal.

```
data_Sc2InP
_space_group_name_H-M_alt 'R -3 m'
_space_group_IT_number 166
_space_group_name_Hall '-R 3 2"'
_cell_length_a 3.3031
_cell_length_b 3.3031
_cell_length_c 29.7527
_cell_angle_alpha 90.00
_cell_angle_beta 90.00
_cell_angle_gamma 120.00
loop_
_atom_site_label
_atom_site_fract_x
_atom_site_fract_y
_atom_site_fract_z
_atom_site_occupancy
Sc1 0.0000 0.0000 0.0847 1
In1 0.0000 0.0000 0.5000 1
P1 0.0000 0.0000 0.0000 1
```

Which one sits at the top of the stability order? *i* does.

*i*
A plane-wave DFT calculation with PBE-GGA was carried out for a relaxed Sc2InP crystal.

```
data_Sc2InP
_space_group_name_H-M_alt 'P 4/m m m'
_space_group_IT_number 123
_space_group_name_Hall '-P 4 2'
_cell_length_a 3.2541
_cell_length_b 3.2541
_cell_length_c 7.6725
_cell_angle_alpha 90.00
_cell_angle_beta 90.00
_cell_angle_gamma 90.00
loop_
_atom_site_label
_atom_site_fract_x
_atom_site_fract_y
_atom_site_fract_z
_atom_site_occupancy
Sc1 0.0000 0.0000 0.1984 1
In1 0.5000 0.5000 0.5000 1
P1 0.5000 0.5000 0.0000 1
```

*ii*
A plane-wave DFT calculation with PBE-GGA was carried out for a relaxed Sc2InP crystal.

```
data_Sc2InP
_space_group_name_H-M_alt 'P m m m'
_space_group_IT_number 47
_cell_length_a 3.8722
_cell_length_b 4.5125
_cell_length_c 4.5477
_cell_angle_alpha 90.00
_cell_angle_beta 90.00
_cell_angle_gamma 90.00
loop_
_space_group_symop_operation_xyz
'x,y,z'
'-x,-y,-z'
'-x,-y,z'
'x,y,-z'
'x,-y,-z'
'-x,y,z'
'-x,y,-z'
'x,-y,z'
loop_
_atom_site_label
_atom_site_fract_x
_atom_site_fract_y
_atom_site_fract_z
_atom_site_occupancy
Sc1 0.0000 0.0000 0.0000 1
Sc2 0.0000 0.5000 0.5000 1
In1 0.5000 0.0000 0.5000 1
P1 0.5000 0.5000 0.0000 1
```

Which one sits at the top of the stability order? *i* does.

*i*
A plane-wave DFT calculation with PBE-GGA was carried out for a relaxed Sc4InP crystal.

```
data_Sc4InP
_space_group_name_H-M_alt 'C 1 2/c 1'
_space_group_IT_number 15
_cell_length_a 14.9779
_cell_length_b 5.7971
_cell_length_c 6.5575
_cell_angle_alpha 90.00
_cell_angle_beta 105.52
_cell_angle_gamma 90.00
loop_
_space_group_symop_operation_xyz
'x,y,z'
'-x,-y,-z'
'-x,y,-z+1/2'
'x,-y,z+1/2'
'x+1/2,y+1/2,z'
'-x+1/2,-y+1/2,-z'
'-x+1/2,y+1/2,-z+1/2'
'x+1/2,-y+1/2,z+1/2'
loop_
_atom_site_label
_atom_site_fract_x
_atom_site_fract_y
_atom_site_fract_z
_atom_site_occupancy
Sc1 0.0878 0.0937 0.4445 1
Sc2 0.1775 0.4024 0.1327 1
In1 0.0000 0.3988 0.7500 1
P1 0.2500 0.2500 0.5000 1
```

*ii*
A plane-wave DFT calculation with PBE-GGA was carried out for a relaxed Sc4InP crystal.

```
data_Sc4InP
_space_group_name_H-M_alt 'F -4 3 m'
_space_group_IT_number 216
_space_group_name_Hall 'F -4 2 3'
_cell_length_a 8.1253
_cell_length_b 8.1253
_cell_length_c 8.1253
_cell_angle_alpha 90.00
_cell_angle_beta 90.00
_cell_angle_gamma 90.00
loop_
_atom_site_label
_atom_site_fract_x
_atom_site_fract_y
_atom_site_fract_z
_atom_site_occupancy
Sc1 0.1247 0.1247 0.1247 1
In1 0.2500 0.2500 0.7500 1
P1 0.0000 0.0000 0.5000 1
```

Which one sits at the top of the stability order? *i* does.

*i*
A plane-wave DFT calculation with PBE-GGA was carried out for a relaxed InSiP2 crystal.

```
data_InSiP2
_space_group_name_H-M_alt 'C m m m'
_space_group_IT_number 65
_space_group_name_Hall '-C 2 2'
_cell_length_a 6.5676
_cell_length_b 6.5901
_cell_length_c 3.2482
_cell_angle_alpha 90.00
_cell_angle_beta 90.00
_cell_angle_gamma 90.00
loop_
_atom_site_label
_atom_site_fract_x
_atom_site_fract_y
_atom_site_fract_z
_atom_site_occupancy
In1 0.0000 0.0000 0.0000 1
Si1 0.0000 0.5000 0.0000 1
P1 0.2500 0.2500 0.5000 1
```

*ii*
A plane-wave DFT calculation with PBE-GGA was carried out for a relaxed InSiP2 crystal.

```
data_InSiP2
_space_group_name_H-M_alt 'I m m m'
_space_group_IT_number 71
_space_group_name_Hall '-I 2 2'
_cell_length_a 3.2908
_cell_length_b 4.9131
_cell_length_c 9.2396
_cell_angle_alpha 90.00
_cell_angle_beta 90.00
_cell_angle_gamma 90.00
loop_
_atom_site_label
_atom_site_fract_x
_atom_site_fract_y
_atom_site_fract_z
_atom_site_occupancy
In1 0.0000 0.0000 0.0000 1
Si1 0.0000 0.0000 0.5000 1
P1 0.0000 0.5000 0.1858 1
```

Which one sits at the top of the stability order? *ii* does.

*i*
A plane-wave DFT calculation with PBE-GGA was carried out for a relaxed InSiP2 crystal.

```
data_InSiP2
_space_group_name_H-M_alt 'I -4 m 2'
_space_group_IT_number 119
_space_group_name_Hall 'I -4 -2'
_cell_length_a 3.6906
_cell_length_b 3.6906
_cell_length_c 10.9792
_cell_angle_alpha 90.00
_cell_angle_beta 90.00
_cell_angle_gamma 90.00
loop_
_atom_site_label
_atom_site_fract_x
_atom_site_fract_y
_atom_site_fract_z
_atom_site_occupancy
In1 0.0000 0.0000 0.0000 1
Si1 0.0000 0.5000 0.2500 1
P1 0.0000 0.0000 0.5000 1
P2 0.0000 0.5000 0.7500 1
```

*ii*
A plane-wave DFT calculation with PBE-GGA was carried out for a relaxed InSiP2 crystal.

```
data_InSiP2
_space_group_name_H-M_alt 'F m -3 m'
_space_group_IT_number 225
_space_group_name_Hall '-F 4 2 3'
_cell_length_a 6.5645
_cell_length_b 6.5645
_cell_length_c 6.5645
_cell_angle_alpha 90.00
_cell_angle_beta 90.00
_cell_angle_gamma 90.00
loop_
_atom_site_label
_atom_site_fract_x
_atom_site_fract_y
_atom_site_fract_z
_atom_site_occupancy
In1 0.0000 0.0000 0.0000 1
Si1 0.0000 0.0000 0.5000 1
P1 0.2500 0.2500 0.2500 1
```

Which one sits at the top of the stability order? *i* does.